This record from Alexandria via LeMat-Bulk describes a relaxed Ni3RhO crystal. The functional is PBE with a Hubbard U.

a b c (Å): 4.6296 4.6296 4.6296
angles (deg): 90.00 90.00 90.00
Space group Pm-3m (No. 221)
Symmetry-distinct sites (fractional):
1 Ni 0.0000 0.0000 0.5000 (multiplicity 3)
2 Rh 0.0000 0.0000 0.0000 (multiplicity 1)
3 O 0.5000 0.5000 0.5000 (multiplicity 1)

Calculated values
Its size of the total moment is 0.75 μB per atom. As for the final energy: -2.110 eV/atom. As for the density of states at the Fermi level: 6.75 states/eV per cell. The energy relative to the lowest polymorph listed for this composition is 1.6438 eV per atom.